{"formula": "AcSi3Pt3", "functional": "PBE", "state": "relaxed", "sg": "No. 223", "magmom_total_mub_per_fu": 0.0, "density_g_cm3": 10.0, "formation_energy_uncorrected_ev_per_atom": -0.816, "n_ef_per_ev_atom": 0.584, "crystal_system": "cubic", "total_energy_ev_per_atom": -6.3161, "cell": [[6.674, 0.000, 0.000], [0.000, 6.674, 0.000], [0.000, 0.000, 6.674]], "species": ["Si", "Si", "Si", "Si", "Si", "Si", "Pt", "Pt", "Pt", "Pt", "Pt", "Pt", "Ac", "Ac"], "fractional_positions": [[0.750, 0.500, 0.000], [0.500, 0.000, 0.250], [0.000, 0.750, 0.500], [0.500, 0.000, 0.750], [0.250, 0.500, 0.000], [0.000, 0.250, 0.500], [0.000, 0.500, 0.750], [0.250, 0.000, 0.500], [0.500, 0.250, 0.000], [0.000, 0.500, 0.250], [0.500, 0.750, 0.000], [0.750, 0.000, 0.500], [0.500, 0.500, 0.500], [0.000, 0.000, 0.000]]}

{"formula": "Ac2Si5Pt3", "functional": "PBE", "state": "relaxed", "sg": "No. 15", "magmom_total_mub_per_fu": 0.0, "density_g_cm3": 10.2, "formation_energy_uncorrected_ev_per_atom": -0.939, "n_ef_per_ev_atom": 0.222, "crystal_system": "monoclinic", "total_energy_ev_per_atom": -6.2845, "cell": [[5.852, 0.007, 2.145], [3.207, 7.854, 0.310], [0.226, -0.505, 8.471]], "species": ["Pt", "Pt", "Pt", "Pt", "Pt", "Pt", "Si", "Si", "Si", "Si", "Si", "Si", "Si", "Si", "Si", "Si", "Ac", "Ac", "Ac", "Ac"], "fractional_positions": [[0.110, 0.256, 0.523], [0.250, 0.998, 0.002], [0.390, 0.477, 0.744], [0.610, 0.523, 0.256], [0.890, 0.744, 0.477], [0.750, 0.002, 0.998], [0.250, 0.766, 0.234], [0.750, 0.234, 0.766], [0.862, 0.257, 0.024], [0.138, 0.743, 0.976], [0.750, 0.500, 0.500], [0.250, 0.235, 0.765], [0.750, 0.765, 0.235], [0.250, 0.500, 0.500], [0.362, 0.024, 0.257], [0.638, 0.976, 0.743], [0.237, 0.390, 0.136], [0.737, 0.136, 0.390], [0.263, 0.864, 0.610], [0.763, 0.610, 0.864]]}

{"formula": "Ac2SiPt5", "functional": "PBE", "state": "relaxed", "sg": "No. 107", "magmom_total_mub_per_fu": 0.0, "density_g_cm3": 13.3, "formation_energy_uncorrected_ev_per_atom": -1.011, "n_ef_per_ev_atom": 0.304, "crystal_system": "tetragonal", "total_energy_ev_per_atom": -6.4916, "cell": [[-3.871, -5.135, 1.131], [6.521, -0.154, 0.282], [0.805, 5.001, 4.120]], "species": ["Pt", "Pt", "Pt", "Pt", "Pt", "Si", "Ac", "Ac"], "fractional_positions": [[0.530, 0.247, 0.247], [0.000, 0.247, 0.717], [0.000, 0.717, 0.247], [0.470, 0.717, 0.717], [0.000, 0.289, 0.289], [0.000, 0.049, 0.049], [0.500, 0.228, 0.728], [0.500, 0.728, 0.228]]}